{
  "formula": "Be5CoRh4",
  "functional": "PBE",
  "state": "optimized geometry",
  "lattice_angstrom": [[-0.634, -1.634, -2.136], [0.415, -2.227, 1.581], [-13.143, 0.209, 3.743]],
  "species": ["Be", "Rh", "Rh", "Be", "Co", "Be", "Rh", "Be", "Rh", "Be"],
  "frac_coords": [[0.500, 0.500, 0.910], [0.000, 0.000, 0.809], [0.000, 0.000, 0.191], [0.500, 0.500, 0.500], [0.000, 0.000, 0.000], [0.500, 0.500, 0.090], [0.000, 0.000, 0.397], [0.500, 0.500, 0.705], [0.000, 0.000, 0.603], [0.500, 0.500, 0.295]],
  "crystal_system": "tetragonal",
  "m_tot_mub_per_atom": 0.0742,
  "e_form_mev_per_atom": -537,
  "space_group": "No. 123"
}

---

{
  "formula": "Ca12Zn3N5",
  "functional": "PBE",
  "state": "optimized geometry",
  "lattice_angstrom": [[13.724, 0.000, 0.000], [-4.575, 12.939, 0.000], [-4.575, -6.470, 11.206]],
  "species": ["Ca", "Ca", "Zn", "Ca", "Ca", "Ca", "Ca", "Zn", "N", "N", "Ca", "Ca", "Ca", "Ca", "N", "Ca", "Ca", "Zn", "Ca", "Zn", "Ca", "N", "N", "Ca", "Ca", "Zn", "Ca", "Zn", "Zn", "Zn", "Ca", "Ca", "Ca", "Ca", "Zn", "N", "N", "N", "Ca", "Ca", "Ca", "Ca", "Ca", "Ca", "Ca", "Ca", "N", "Ca", "Ca", "Ca", "Ca", "Ca", "Ca", "N", "Zn", "Ca", "Ca", "N", "N", "N", "N", "Ca", "Ca", "Ca", "N", "N", "N", "N", "Ca", "Zn", "Zn", "Ca", "Ca", "Ca", "N", "Ca", "N", "Ca", "Ca", "Ca"],
  "frac_coords": [[0.183, 0.082, 0.694], [0.888, 0.306, 0.490], [0.125, 0.250, 0.875], [0.112, 0.418, 0.101], [0.582, 0.694, 0.683], [0.601, 0.612, 0.418], [0.490, 0.683, 0.101], [0.750, 0.375, 0.125], [0.500, 0.000, 0.500], [0.625, 0.875, 0.250], [0.399, 0.388, 0.582], [0.918, 0.817, 0.806], [0.899, 0.082, 0.888], [0.418, 0.112, 0.601], [0.750, 0.625, 0.375], [0.806, 0.317, 0.918], [0.388, 0.399, 0.082], [0.250, 0.625, 0.875], [0.194, 0.510, 0.612], [0.875, 0.750, 0.125], [0.306, 0.418, 0.817], [0.500, 0.500, 0.000], [0.125, 0.375, 0.250], [0.817, 0.899, 0.010], [0.317, 0.806, 0.418], [0.375, 0.750, 0.625], [0.806, 0.490, 0.388], [0.750, 0.875, 0.625], [0.375, 0.625, 0.250], [0.625, 0.375, 0.750], [0.490, 0.806, 0.888], [0.990, 0.388, 0.306], [0.082, 0.183, 0.194], [0.510, 0.194, 0.112], [0.625, 0.250, 0.375], [0.000, 0.000, 0.000], [0.500, 0.000, 0.000], [0.500, 0.500, 0.500], [0.683, 0.194, 0.582], [0.010, 0.612, 0.694], [0.601, 0.990, 0.683], [0.194, 0.683, 0.082], [0.612, 0.010, 0.194], [0.082, 0.899, 0.388], [0.112, 0.694, 0.510], [0.418, 0.306, 0.317], [0.875, 0.250, 0.625], [0.612, 0.601, 0.918], [0.899, 0.817, 0.510], [0.399, 0.010, 0.317], [0.010, 0.399, 0.817], [0.683, 0.490, 0.601], [0.183, 0.101, 0.990], [0.000, 0.000, 0.500], [0.125, 0.875, 0.750], [0.317, 0.510, 0.399], [0.510, 0.317, 0.899], [0.750, 0.125, 0.875], [0.375, 0.125, 0.750], [0.000, 0.500, 0.500], [0.125, 0.750, 0.375], [0.817, 0.918, 0.306], [0.582, 0.888, 0.399], [0.101, 0.918, 0.112], [0.875, 0.625, 0.750], [0.250, 0.375, 0.625], [0.625, 0.750, 0.875], [0.250, 0.875, 0.125], [0.990, 0.601, 0.183], [0.250, 0.125, 0.375], [0.875, 0.125, 0.250], [0.306, 0.888, 0.990], [0.101, 0.183, 0.490], [0.388, 0.990, 0.806], [0.375, 0.250, 0.125], [0.888, 0.582, 0.899], [0.000, 0.500, 0.000], [0.694, 0.582, 0.183], [0.694, 0.112, 0.010], [0.918, 0.101, 0.612]],
  "crystal_system": "cubic",
  "m_tot_mub_per_atom": 0.0001,
  "raw_formation_energy_ev_per_atom": -0.45,
  "space_group": "No. 230"
}

---

{
  "formula": "BaSi2Tc",
  "functional": "PBE",
  "state": "optimized geometry",
  "lattice_angstrom": [[4.379, -0.096, 0.055], [2.766, 3.397, 0.055], [1.784, 0.824, 6.003]],
  "species": ["Tc", "Ba", "Si", "Si"],
  "frac_coords": [[0.250, 0.250, 0.250], [0.750, 0.750, 0.750], [0.964, 0.964, 0.148], [0.536, 0.536, 0.352]],
  "crystal_system": "monoclinic",
  "m_tot_mub_per_atom": 0.0000,
  "raw_formation_energy_ev_per_atom": -0.27,
  "space_group": "No. 12"
}

---

{
  "formula": "ZrAlRh",
  "functional": "PBE",
  "state": "optimized geometry",
  "lattice_angstrom": [[-3.167, 0.798, 4.203], [4.725, -2.348, 0.705], [3.490, 7.391, 1.226]],
  "species": ["Al", "Al", "Rh", "Zr", "Zr", "Rh", "Rh", "Zr", "Zr", "Al", "Al", "Rh"],
  "frac_coords": [[0.654, 0.831, 0.500], [0.169, 0.346, 0.500], [0.834, 0.166, 0.000], [0.666, 0.334, 0.292], [0.331, 0.669, 0.822], [0.339, 0.168, 0.000], [0.832, 0.661, 0.000], [0.331, 0.669, 0.178], [0.666, 0.334, 0.708], [0.005, 0.995, 0.244], [0.005, 0.995, 0.756], [0.168, 0.832, 0.500]],
  "crystal_system": "orthorhombic",
  "m_tot_mub_per_atom": 0.0000,
  "e_form_mev_per_atom": -775,
  "space_group": "No. 38"
}

---

{
  "formula": "Ba2CePb2O6",
  "functional": "PBE",
  "state": "optimized geometry",
  "lattice_angstrom": [[-3.877, -5.134, 0.884], [5.595, -0.547, -2.493], [0.384, 0.945, 7.175]],
  "species": ["Pb", "Ce", "O", "O", "Pb", "O", "Ba", "O", "Ba", "O", "O"],
  "frac_coords": [[0.916, 0.832, 0.749], [0.500, 0.000, 0.500], [0.671, 0.854, 0.235], [0.704, 0.408, 0.476], [0.084, 0.168, 0.251], [0.296, 0.592, 0.524], [0.292, 0.584, 0.875], [0.817, 0.146, 0.765], [0.708, 0.416, 0.125], [0.329, 0.146, 0.765], [0.183, 0.854, 0.235]],
  "crystal_system": "monoclinic",
  "m_tot_mub_per_atom": 0.0000,
  "raw_formation_energy_ev_per_atom": -2.17,
  "space_group": "No. 12"
}

---

{
  "formula": "KIr2OsPt",
  "functional": "PBE",
  "state": "optimized geometry",
  "lattice_angstrom": [[4.594, 0.000, 0.000], [0.000, 4.748, 0.000], [0.000, 0.000, 4.594]],
  "species": ["Ir", "Os", "Ir", "K", "Pt"],
  "frac_coords": [[0.500, 0.000, 0.000], [0.500, 0.500, 0.500], [0.000, 0.000, 0.500], [0.000, 0.000, 0.000], [0.000, 0.500, 0.000]],
  "crystal_system": "tetragonal",
  "m_tot_mub_per_atom": 0.7622,
  "e_form_mev_per_atom": 3397,
  "space_group": "No. 123"
}

---

{
  "formula": "LiCo2Cu",
  "functional": "PBE",
  "state": "optimized geometry",
  "lattice_angstrom": [[2.442, 0.000, 0.000], [-1.067, 2.197, 0.000], [0.000, 0.000, 8.678]],
  "species": ["Cu", "Li", "Co", "Co"],
  "frac_coords": [[0.500, 0.500, 0.250], [0.500, 0.500, 0.750], [0.000, 0.000, 0.497], [0.000, 0.000, 0.003]],
  "crystal_system": "orthorhombic",
  "m_tot_mub_per_atom": 0.7385,
  "e_form_mev_per_atom": 172,
  "space_group": "No. 65"
}

---

{
  "formula": "SmUSe2O",
  "functional": "PBE",
  "state": "optimized geometry",
  "lattice_angstrom": [[4.022, 0.000, 0.000], [0.000, 4.022, 0.000], [0.000, 0.000, 14.040]],
  "species": ["Sm", "Se", "Sm", "U", "Se", "O", "Se", "U", "Se", "O"],
  "frac_coords": [[0.500, 0.000, 0.105], [0.000, 0.500, 0.685], [0.000, 0.500, 0.895], [0.000, 0.500, 0.414], [0.500, 0.000, 0.315], [0.500, 0.500, 0.500], [0.000, 0.500, 0.112], [0.500, 0.000, 0.586], [0.500, 0.000, 0.888], [0.000, 0.000, 0.500]],
  "crystal_system": "tetragonal",
  "m_tot_mub_per_atom": 0.4855,
  "raw_formation_energy_ev_per_atom": -2.09,
  "space_group": "No. 129"
}

---

{
  "formula": "MgOsSe2",
  "functional": "PBE",
  "state": "optimized geometry",
  "lattice_angstrom": [[-0.584, -4.988, -1.976], [-0.706, -5.164, 1.400], [-4.056, 0.524, -0.120]],
  "species": ["Mg", "Os", "Se", "Se"],
  "frac_coords": [[0.468, 0.468, 0.625], [0.272, 0.272, 0.125], [0.733, 0.733, 0.625], [0.027, 0.027, 0.125]],
  "crystal_system": "orthorhombic",
  "m_tot_mub_per_atom": 0.0001,
  "raw_formation_energy_ev_per_atom": 0.01,
  "space_group": "No. 38"
}

---

{
  "formula": "Li4SmGe2",
  "functional": "PBE",
  "state": "optimized geometry",
  "lattice_angstrom": [[4.378, 0.000, 0.000], [0.000, 7.668, 0.000], [0.000, 0.000, 7.668]],
  "species": ["Li", "Li", "Li", "Li", "Ge", "Ge", "Li", "Li", "Sm", "Ge", "Ge", "Li", "Sm", "Li"],
  "frac_coords": [[0.500, 0.848, 0.397], [0.000, 0.897, 0.652], [0.500, 0.152, 0.603], [0.500, 0.603, 0.152], [0.000, 0.211, 0.789], [0.500, 0.711, 0.711], [0.000, 0.348, 0.103], [0.500, 0.397, 0.848], [0.000, 0.500, 0.500], [0.500, 0.289, 0.289], [0.000, 0.789, 0.211], [0.000, 0.652, 0.897], [0.500, 0.000, 0.000], [0.000, 0.103, 0.348]],
  "crystal_system": "tetragonal",
  "m_tot_mub_per_atom": 0.0000,
  "e_form_mev_per_atom": -470,
  "space_group": "No. 136"
}

---

{
  "formula": "CsSr2Ag2",
  "functional": "PBE",
  "state": "optimized geometry",
  "lattice_angstrom": [[5.534, 0.000, 0.000], [0.000, 5.534, 0.000], [2.767, 2.767, 6.785]],
  "species": ["Sr", "Cs", "Sr", "Ag", "Ag"],
  "frac_coords": [[0.750, 0.250, 0.500], [0.000, 0.000, 0.000], [0.250, 0.750, 0.500], [0.608, 0.608, 0.785], [0.392, 0.392, 0.215]],
  "crystal_system": "tetragonal",
  "m_tot_mub_per_atom": 0.0000,
  "e_form_mev_per_atom": -45,
  "space_group": "No. 139"
}

---

{
  "formula": "Mg2ZrTa",
  "functional": "PBE",
  "state": "optimized geometry",
  "lattice_angstrom": [[5.544, 0.010, 0.040], [4.672, 2.983, 0.040], [1.945, 0.570, 5.036]],
  "species": ["Mg", "Zr", "Mg", "Ta"],
  "frac_coords": [[0.755, 0.755, 0.816], [0.244, 0.244, 0.323], [0.003, 0.003, 0.929], [0.498, 0.498, 0.432]],
  "crystal_system": "monoclinic",
  "m_tot_mub_per_atom": 0.0000,
  "e_form_mev_per_atom": 185,
  "space_group": "No. 8"
}

---

| no. | VASP energy (eV per atom) |
| --- | --- |
| 1 | -6.051 |
| 2 | -3.919 |
| 3 | -6.052 |
| 4 | -7.322 |
| 5 | -6.438 |
| 6 | -3.821 |
| 7 | -4.883 |
| 8 | -7.681 |
| 9 | -4.936 |
| 10 | -3.557 |
| 11 | -2.029 |
| 12 | -5.713 |